Compound: Ag5Se4BrCl2
Source: OQMD
Functional: PBE
Structure: relaxed

abc: 7.741 7.087 7.087
angles: 127.09 90.00 90.00
Positions (direct):
Ag (0.237, 0.947, 0.314)
Ag (0.763, 0.947, 0.314)
Ag (0.500, 0.672, 0.672)
Ag (0.237, 0.314, 0.947)
Ag (0.763, 0.314, 0.947)
Br (0.000, 0.454, 0.454)
Cl (0.500, 0.665, 0.026)
Cl (0.500, 0.026, 0.665)
Se (0.000, 0.619, 0.025)
Se (0.324, 0.305, 0.305)
Se (0.676, 0.305, 0.305)
Se (0.000, 0.025, 0.619)

Output
**Total DFT energy (no corrections)**: -2.8258 eV per atom
**SG**: No. 38

***

Compound: BiOsPb
Source: OQMD
Functional: PBE
Structure: relaxed

abc: 4.729 4.729 4.729
angles: 60.00 60.00 60.00
Positions (direct):
Bi (0.250, 0.250, 0.250)
Os (0.000, 0.000, 0.000)
Pb (0.750, 0.750, 0.750)

Output
**Total DFT energy (no corrections)**: -5.7115 eV per atom
**Magnetic moment**: 0.00 Bohr magnetons per cell
**SG**: No. 216

***

Compound: Re2Se3S
Source: OQMD
Functional: PBE
Structure: relaxed

abc: 3.418 3.418 22.866
angles: 90.00 90.00 59.96
Positions (direct):
Re (0.575, 0.575, 0.500)
Re (0.075, 0.075, 0.997)
S (0.742, 0.742, 0.937)
Se (0.742, 0.742, 0.066)
Se (0.242, 0.242, 0.432)
Se (0.242, 0.242, 0.568)

Output
**Energy relative to the lowest polymorph listed for this composition**: 322.6 meV per atom
**Total DFT energy (no corrections)**: -6.6960 eV per atom
**Magnetic moment**: 0.20 Bohr magnetons per cell
**SG**: No. 8

***

Compound: NaCuSnSe2S
Source: OQMD
Functional: PBE
Structure: relaxed

abc: 6.906 6.906 10.367
angles: 90.00 90.00 147.81
Positions (direct):
Cu (0.455, 0.545, 0.250)
Cu (0.545, 0.455, 0.750)
Na (0.726, 0.274, 0.250)
Na (0.274, 0.726, 0.750)
S (0.059, 0.941, 0.250)
S (0.941, 0.059, 0.750)
Se (0.357, 0.643, 0.049)
Se (0.357, 0.643, 0.451)
Se (0.643, 0.357, 0.549)
Se (0.643, 0.357, 0.951)
Sn (0.000, 0.000, 0.000)
Sn (0.000, 0.000, 0.500)

Output
**Total DFT energy (no corrections)**: -3.8349 eV per atom
**SG**: No. 63

***

Compound: NaAuNO
Source: OQMD
Functional: PBE
Structure: relaxed

abc: 3.735 5.608 5.537
angles: 90.00 90.00 90.00
Positions (direct):
Au (0.500, 0.000, 0.341)
Au (0.500, 0.500, 0.659)
N (0.000, 0.966, 0.378)
N (0.000, 0.466, 0.622)
Na (0.000, 0.528, 0.133)
Na (0.000, 0.028, 0.867)
O (0.500, 0.260, 0.075)
O (0.500, 0.760, 0.925)

Output
**Energy relative to the lowest polymorph listed for this composition**: 0.0 meV per atom
**Total DFT energy (no corrections)**: -4.0991 eV per atom
**SG**: No. 26

***

Compound: SrZnSeO
Source: OQMD
Functional: PBE
Structure: relaxed

abc: 6.756 6.903 6.988
angles: 90.00 90.00 90.00
Positions (direct):
O (0.659, 0.334, 0.164)
O (0.341, 0.834, 0.336)
O (0.841, 0.666, 0.664)
O (0.159, 0.166, 0.836)
Se (0.872, 0.872, 0.125)
Se (0.128, 0.372, 0.375)
Se (0.628, 0.128, 0.625)
Se (0.372, 0.628, 0.875)
Sr (0.379, 0.112, 0.114)
Sr (0.621, 0.612, 0.386)
Sr (0.121, 0.888, 0.614)
Sr (0.879, 0.388, 0.886)
Zn (0.179, 0.674, 0.180)
Zn (0.821, 0.174, 0.320)
Zn (0.321, 0.326, 0.680)
Zn (0.679, 0.826, 0.820)

Output
**Total DFT energy (no corrections)**: -4.5294 eV per atom
**SG**: No. 19

***

Compound: BeCoAsIr
Source: OQMD
Functional: PBE
Structure: relaxed

abc: 4.161 4.161 4.161
angles: 60.00 60.00 60.00
Positions (direct):
As (0.000, 0.000, 0.000)
Be (0.250, 0.250, 0.250)
Co (0.750, 0.750, 0.750)
Ir (0.500, 0.500, 0.500)

Output
**Energy relative to the lowest polymorph listed for this composition**: 327.1 meV per atom
**Total DFT energy (no corrections)**: -5.8704 eV per atom
**Magnetic moment**: 1.07 Bohr magnetons per cell
**SG**: No. 216

***

Compound: ZrBeRe
Source: OQMD
Functional: PBE
Structure: relaxed

abc: 4.339 4.339 4.339
angles: 60.00 60.00 60.00
Positions (direct):
Be (0.250, 0.250, 0.250)
Re (0.750, 0.750, 0.750)
Zr (0.000, 0.000, 0.000)

Output
**Energy relative to the lowest polymorph listed for this composition**: 436.2 meV per atom
**Total DFT energy (no corrections)**: -7.0097 eV per atom
**Magnetic moment**: 0.01 Bohr magnetons per cell
**SG**: No. 216